1.
VASP calculation (GGA-PBE) on a relaxed Ni3PN crystal.

Geometry as POSCAR:
```
Ni3PN
1.0
1.518 -5.182 0.000
1.518 5.182 0.000
0.000 0.000 6.661
Ni P N
6 2 2
Direct
0.074 0.926 0.750 Ni
0.358 0.642 0.553 Ni
0.358 0.642 0.947 Ni
0.642 0.358 0.053 Ni
0.642 0.358 0.447 Ni
0.926 0.074 0.250 Ni
0.251 0.749 0.250 P
0.749 0.251 0.750 P
0.000 0.000 0.000 N
0.000 0.000 0.500 N
```

Computed properties:
- Uncorrected energy: -60.7 eV per cell

=====

2.
VASP calculation (GGA-PBE) on a relaxed Ho3SiPt4 crystal.

Geometry as POSCAR:
```
Ho3SiPt4
1.0
5.727 0.000 0.000
0.000 4.042 0.000
-0.366 0.000 7.031
Ho Si Pt
3 1 4
Direct
0.000 0.000 0.000 Ho
0.247 0.000 0.499 Ho
0.737 0.500 0.357 Ho
0.495 0.500 0.824 Si
0.071 0.500 0.728 Pt
0.227 0.500 0.215 Pt
0.519 0.000 0.045 Pt
0.706 0.000 0.660 Pt
```

Computed properties:
- Uncorrected energy: -52.0 eV per cell